w | Entry from the Alexandria database: crystalline Sc2TiTl2 at its relaxed geometry (GGA-PBE).

```
Sc2TiTl2
1.0
-5.6531 1.6577 -5.0046
0.9978 -6.8688 -3.4023
-2.6089 -1.5795 2.4238
Sc Ti Tl
4 2 4
Direct
0.6683 0.8317 0.5000
0.1683 0.6683 0.5000
0.8317 0.3317 0.5000
0.3317 0.1683 0.5000
0.0000 0.0000 0.0000
0.5000 0.5000 0.0000
0.3622 0.8622 0.0000
0.1378 0.3622 0.0000
0.6378 0.1378 0.0000
0.8622 0.6378 0.0000
```

***

x | Entry from the Alexandria database: crystalline Sc2TiTl2 at its relaxed geometry (GGA-PBE).

```
Sc2TiTl2
1.0
8.4729 0.0000 0.0000
0.0000 8.4729 0.0000
0.0000 0.0000 3.2915
Sc Tl Ti
4 4 2
Direct
0.3751 0.8751 0.0000
0.8751 0.6249 0.0000
0.6249 0.1249 0.0000
0.1249 0.3751 0.0000
0.1753 0.6753 0.5000
0.8247 0.3247 0.5000
0.3247 0.1753 0.5000
0.6753 0.8247 0.5000
0.5000 0.5000 0.0000
0.0000 0.0000 0.0000
```

***

Quick one: most stable of them? w